YbSeClO3 after structural relaxation. Source: the Alexandria database, functional PBE.

## Properties
Calculated volume (Å³ per cell): 460.7
E (eV/atom): -5.30
M_tot (μB/cell): 4.24
E_form (uncorrected) (meV per atom): -1677

a = 7.337 Å, b = 7.079 Å, c = 8.870 Å
α = 90.00°, β = 90.00°, γ = 90.00°
Space group Pnma (No. 62)
Symmetry-distinct sites (fractional):
Yb (0.105, 0.250, 0.045) x4
Se (0.215, 0.250, 0.634) x4
Cl (0.055, 0.750, 0.677) x4
O (0.141, 0.573, 0.069) x8
O (0.248, 0.750, 0.323) x4

***

Si2ClO after structural relaxation. Source: the Alexandria database, functional PBE.

## Properties
Calculated volume (Å³ per cell): 273.3
E (eV/atom): -4.67
Offset from the most stable computed form (meV/atom): 0.0
M_tot (μB/cell): 0.00
E_form (uncorrected) (meV per atom): -258

a = 4.517 Å, b = 4.517 Å, c = 13.394 Å
α = 90.00°, β = 90.00°, γ = 90.00°
Space group I-42d (No. 122)
Symmetry-distinct sites (fractional):
Si (0.077, 0.250, 0.125) x8
Cl (0.000, 0.000, 0.500) x4
O (0.000, 0.000, 0.000) x4